1.
DFT (PBE) results for a geometry-optimized NaMo3Rh structure.

Properties
DOS(E_F) in states/eV per cell: 6.948
Symmetry: Pm-3m, No. 221
Excess energy over the best structure of this formula in the dataset in eV per atom: 0.877
Crystal system: cubic
Energy of formation from the pure elements in eV per formula unit: 12.79

Lattice parameters (Å, degrees): 4.4412 4.4412 4.4412 90.00 90.00 90.00
Last column: nearest neighbours and their distance in Å.
Atoms (fractional coordinates):
Mo1 0.5000 0.0000 0.0000  2 Na 2.22
Na1 0.0000 0.0000 0.0000  6 Mo 2.22
Mo2 0.0000 0.0000 0.5000  2 Na 2.22
Rh1 0.5000 0.5000 0.5000  12 Mo 3.14
Mo3 0.0000 0.5000 0.0000  2 Na 2.22

---

2.
DFT (PBE) results for a geometry-optimized NaMoRu2Rh structure.

Properties
DOS(E_F) in states/eV per cell: 7.766
Symmetry: P4/mmm, No. 123
Crystal system: tetragonal
Energy of formation from the pure elements in eV per formula unit: 8.93

Lattice parameters (Å, degrees): 4.5757 4.9994 4.5757 90.00 90.00 90.00
Last column: nearest neighbours and their distance in Å.
Atoms (fractional coordinates):
Ru1 0.0000 0.0000 0.5000  2 Mo 2.29
Na1 0.0000 0.5000 0.0000  2 Mo 2.50
Mo1 0.0000 0.0000 0.0000  4 Ru 2.29, 2 Na 2.50
Ru2 0.5000 0.0000 0.0000  2 Mo 2.29
Rh1 0.5000 0.5000 0.5000  4 Na 3.24, 8 Ru 3.39

---

> What is the energy of formation from the pure elements in the first record?

12.79 eV per formula unit